# 1
Material: Sm3Mg2Hg2
Method: DFT, GGA-PBE
State: relaxed

Cell lengths 6.1604, 6.1568, 8.4029 Å; angles 102.26, 106.54, 131.46 degrees
With the nearest neighbours (Å) after each atom.
Fractional coordinates of all 7 atoms:
Sm (0.3046, 0.0763, 0.6901)  3 Hg 3.09-3.10, 3 Mg 3.39
Sm (0.6954, 0.9237, 0.3099)  3 Hg 3.09-3.10, 3 Mg 3.39
Sm (0.0000, 0.0000, 0.0000)  2 Hg 3.10
Mg (0.8789, 0.4881, 0.1842)  3 Hg 3.13-3.24, 3 Sm 3.39
Mg (0.1211, 0.5119, 0.8158)  3 Hg 3.13-3.24, 3 Sm 3.39
Hg (0.4529, 0.6985, 0.5755)  1 Hg 2.98, 4 Sm 3.09-3.10, 3 Mg 3.13-3.24
Hg (0.5471, 0.3015, 0.4245)  1 Hg 2.98, 4 Sm 3.09-3.10, 3 Mg 3.13-3.24

Properties
Calculated total energy ... -19.7 eV for the cell shown
Energy relative to the elements ... -251 meV per atom

---

# 2
Material: SmMgHg4
Method: DFT, GGA-PBE
State: relaxed

Cell lengths 4.2265, 5.3583, 7.7539 Å; angles 101.39, 74.18, 66.77 degrees
With the nearest neighbours (Å) after each atom.
Fractional coordinates of all 6 atoms:
Hg (0.6506, 0.0093, 0.6895)  3 Hg 3.08-3.13, 2 Mg 3.15, 3 Sm 3.19-3.21
Hg (0.8267, 0.5031, 0.8434)  3 Mg 3.08-3.14, 5 Hg 3.08-3.16, 2 Sm 3.32
Hg (0.1733, 0.4969, 0.1566)  3 Mg 3.08-3.14, 5 Hg 3.08-3.16, 2 Sm 3.32
Hg (0.3494, 0.9907, 0.3105)  3 Hg 3.08-3.13, 2 Mg 3.15, 3 Sm 3.19-3.21
Sm (0.5000, 0.5000, 0.5000)  10 Hg 3.19-3.32
Mg (0.0000, 0.0000, 0.0000)  10 Hg 3.08-3.15

Properties
Energy relative to the lowest polymorph listed for this composition ... 10 meV per atom
Calculated total energy ... -9.2 eV for the cell shown
Energy relative to the elements ... -279 meV per atom